# Ti3Mn2Ge3 PBE relaxed
# Energy of formation from the pure elements in meV per atom: -491
# E_tot in eV per atom: -7.4756
# Crystal system: hexagonal
data_Ti3Mn2Ge3
_chemical_formula_sum 'Ti6 Mn4 Ge6'
_space_group_name_H-M_alt 'P 1'
_space_group_IT_number 1
_cell_length_a 7.335
_cell_length_b 7.335
_cell_length_c 5.026
_cell_angle_alpha 90.00
_cell_angle_beta 90.00
_cell_angle_gamma 120.00
loop_
_space_group_symop_operation_xyz
'x,y,z'
loop_
_atom_site_label
_atom_site_fract_x
_atom_site_fract_y
_atom_site_fract_z
_atom_site_occupancy
Ti1 0.000 0.243 0.250 1
Ti2 0.000 0.757 0.750 1
Ti3 0.243 0.000 0.250 1
Ti4 0.243 0.243 0.750 1
Ti5 0.757 0.000 0.750 1
Ti6 0.757 0.757 0.250 1
Mn1 0.333 0.667 0.000 1
Mn2 0.333 0.667 0.500 1
Mn3 0.667 0.333 0.000 1
Mn4 0.667 0.333 0.500 1
Ge1 0.000 0.400 0.750 1
Ge2 0.000 0.600 0.250 1
Ge3 0.400 0.000 0.750 1
Ge4 0.400 0.400 0.250 1
Ge5 0.600 0.000 0.250 1
Ge6 0.600 0.600 0.750 1

---

# Ti2MnGe4 PBE relaxed
# Energy above the most stable polymorph in this dataset in meV/atom: 0
# Energy of formation from the pure elements in meV per atom: -170
# E_tot in eV per atom: -6.3737
# Crystal system: monoclinic
data_Ti2MnGe4
_chemical_formula_sum 'Ti4 Mn2 Ge8'
_space_group_name_H-M_alt 'P 1'
_space_group_IT_number 1
_cell_length_a 14.755
_cell_length_b 3.011
_cell_length_c 5.543
_cell_angle_alpha 90.00
_cell_angle_beta 110.86
_cell_angle_gamma 90.00
loop_
_space_group_symop_operation_xyz
'x,y,z'
loop_
_atom_site_label
_atom_site_fract_x
_atom_site_fract_y
_atom_site_fract_z
_atom_site_occupancy
Ti1 0.240 0.000 0.241 1
Ti2 0.260 0.500 0.759 1
Ti3 0.740 0.500 0.241 1
Ti4 0.760 0.000 0.759 1
Mn1 0.000 0.000 0.000 1
Mn2 0.500 0.500 0.000 1
Ge1 0.101 0.500 0.328 1
Ge2 0.111 0.000 0.769 1
Ge3 0.389 0.500 0.231 1
Ge4 0.399 0.000 0.672 1
Ge5 0.601 0.000 0.328 1
Ge6 0.611 0.500 0.769 1
Ge7 0.889 0.000 0.231 1
Ge8 0.899 0.500 0.672 1

---

# TiMn4Ge2 PBE relaxed
# Energy above the most stable polymorph in this dataset in meV/atom: 688
# Energy of formation from the pure elements in meV per atom: 686
# E_tot in eV per atom: -7.0004
# Crystal system: tetragonal
data_TiMn4Ge2
_chemical_formula_sum 'Ti2 Mn8 Ge4'
_space_group_name_H-M_alt 'P 1'
_space_group_IT_number 1
_cell_length_a 4.222
_cell_length_b 4.222
_cell_length_c 13.427
_cell_angle_alpha 90.00
_cell_angle_beta 90.00
_cell_angle_gamma 90.00
loop_
_space_group_symop_operation_xyz
'x,y,z'
loop_
_atom_site_label
_atom_site_fract_x
_atom_site_fract_y
_atom_site_fract_z
_atom_site_occupancy
Ti1 0.000 0.000 0.000 1
Ti2 0.500 0.500 0.500 1
Mn1 0.000 0.000 0.191 1
Mn2 0.000 0.000 0.809 1
Mn3 0.000 0.500 0.000 1
Mn4 0.000 0.500 0.500 1
Mn5 0.500 0.000 0.000 1
Mn6 0.500 0.000 0.500 1
Mn7 0.500 0.500 0.309 1
Mn8 0.500 0.500 0.691 1
Ge1 0.000 0.000 0.377 1
Ge2 0.000 0.000 0.623 1
Ge3 0.500 0.500 0.123 1
Ge4 0.500 0.500 0.877 1

---

# Ti2MnGe PBE relaxed
# Energy of formation from the pure elements in meV per atom: -379
# E_tot in eV per atom: -7.7730
# Crystal system: tetragonal
data_Ti2MnGe
_chemical_formula_sum 'Ti2 Mn1 Ge1'
_space_group_name_H-M_alt 'P 1'
_space_group_IT_number 1
_cell_length_a 4.135
_cell_length_b 4.135
_cell_length_c 3.410
_cell_angle_alpha 90.00
_cell_angle_beta 90.00
_cell_angle_gamma 90.00
loop_
_space_group_symop_operation_xyz
'x,y,z'
loop_
_atom_site_label
_atom_site_fract_x
_atom_site_fract_y
_atom_site_fract_z
_atom_site_occupancy
Ti1 0.000 0.500 0.000 1
Ti2 0.500 0.000 0.000 1
Mn1 0.000 0.000 0.500 1
Ge1 0.500 0.500 0.500 1

---

# Ti2MnGe PBE relaxed
# Energy of formation from the pure elements in meV per atom: -364
# E_tot in eV per atom: -7.7585
# Crystal system: tetragonal
data_Ti2MnGe
_chemical_formula_sum 'Ti2 Mn1 Ge1'
_space_group_name_H-M_alt 'P 1'
_space_group_IT_number 1
_cell_length_a 3.210
_cell_length_b 3.210
_cell_length_c 5.606
_cell_angle_alpha 90.00
_cell_angle_beta 90.00
_cell_angle_gamma 90.00
loop_
_space_group_symop_operation_xyz
'x,y,z'
loop_
_atom_site_label
_atom_site_fract_x
_atom_site_fract_y
_atom_site_fract_z
_atom_site_occupancy
Ti1 0.000 0.000 0.241 1
Ti2 0.000 0.000 0.759 1
Mn1 0.500 0.500 0.000 1
Ge1 0.500 0.500 0.500 1

---

# Ti2MnGe3 PBE relaxed
# Energy of formation from the pure elements in meV per atom: -293
# E_tot in eV per atom: -6.7612
# Crystal system: monoclinic
data_Ti2MnGe3
_chemical_formula_sum 'Ti4 Mn2 Ge6'
_space_group_name_H-M_alt 'P 1'
_space_group_IT_number 1
_cell_length_a 6.660
_cell_length_b 6.660
_cell_length_c 6.320
_cell_angle_alpha 96.96
_cell_angle_beta 96.96
_cell_angle_gamma 134.07
loop_
_space_group_symop_operation_xyz
'x,y,z'
loop_
_atom_site_label
_atom_site_fract_x
_atom_site_fract_y
_atom_site_fract_z
_atom_site_occupancy
Ti1 0.020 0.980 0.750 1
Ti2 0.323 0.677 0.750 1
Ti3 0.677 0.323 0.250 1
Ti4 0.980 0.020 0.250 1
Mn1 0.342 0.658 0.250 1
Mn2 0.658 0.342 0.750 1
Ge1 0.137 0.800 0.031 1
Ge2 0.200 0.863 0.469 1
Ge3 0.500 0.500 0.000 1
Ge4 0.500 0.500 0.500 1
Ge5 0.800 0.137 0.531 1
Ge6 0.863 0.200 0.969 1

---

# Ti4Mn2Ge5 PBE relaxed
# Energy of formation from the pure elements in meV per atom: -512
# E_tot in eV per atom: -7.1485
# Crystal system: orthorhombic
data_Ti4Mn2Ge5
_chemical_formula_sum 'Ti8 Mn4 Ge10'
_space_group_name_H-M_alt 'P 1'
_space_group_IT_number 1
_cell_length_a 9.457
_cell_length_b 9.457
_cell_length_c 9.457
_cell_angle_alpha 130.89
_cell_angle_beta 59.42
_cell_angle_gamma 148.67
loop_
_space_group_symop_operation_xyz
'x,y,z'
loop_
_atom_site_label
_atom_site_fract_x
_atom_site_fract_y
_atom_site_fract_z
_atom_site_occupancy
Ti1 0.064 0.739 0.803 1
Ti2 0.143 0.104 0.247 1
Ti3 0.357 0.604 0.962 1
Ti4 0.436 0.239 0.675 1
Ti5 0.564 0.761 0.325 1
Ti6 0.643 0.396 0.038 1
Ti7 0.857 0.896 0.753 1
Ti8 0.936 0.261 0.197 1
Mn1 0.055 0.750 0.305 1
Mn2 0.445 0.750 0.695 1
Mn3 0.555 0.250 0.305 1
Mn4 0.945 0.250 0.695 1
Ge1 0.074 0.404 0.478 1
Ge2 0.215 0.796 0.011 1
Ge3 0.250 0.250 0.000 1
Ge4 0.285 0.296 0.581 1
Ge5 0.426 0.904 0.330 1
Ge6 0.574 0.096 0.670 1
Ge7 0.715 0.704 0.419 1
Ge8 0.750 0.750 0.000 1
Ge9 0.785 0.204 0.989 1
Ge10 0.926 0.596 0.522 1

---

# TiMn4Ge2 PBE relaxed
# Energy above the most stable polymorph in this dataset in meV/atom: 0
# Energy of formation from the pure elements in meV per atom: -2
# E_tot in eV per atom: -7.6884
# Crystal system: orthorhombic
data_TiMn4Ge2
_chemical_formula_sum 'Ti2 Mn8 Ge4'
_space_group_name_H-M_alt 'P 1'
_space_group_IT_number 1
_cell_length_a 2.695
_cell_length_b 3.900
_cell_length_c 17.245
_cell_angle_alpha 90.00
_cell_angle_beta 90.00
_cell_angle_gamma 90.00
loop_
_space_group_symop_operation_xyz
'x,y,z'
loop_
_atom_site_label
_atom_site_fract_x
_atom_site_fract_y
_atom_site_fract_z
_atom_site_occupancy
Ti1 0.000 0.000 0.000 1
Ti2 0.500 0.500 0.500 1
Mn1 0.000 0.000 0.150 1
Mn2 0.000 0.000 0.850 1
Mn3 0.000 0.500 0.229 1
Mn4 0.000 0.500 0.771 1
Mn5 0.500 0.000 0.271 1
Mn6 0.500 0.000 0.729 1
Mn7 0.500 0.500 0.350 1
Mn8 0.500 0.500 0.650 1
Ge1 0.000 0.000 0.404 1
Ge2 0.000 0.000 0.596 1
Ge3 0.500 0.500 0.096 1
Ge4 0.500 0.500 0.904 1

---

# TiMn2Ge PBE relaxed
# Energy of formation from the pure elements in meV per atom: -307
# E_tot in eV per atom: -8.0199
# Crystal system: tetragonal
data_TiMn2Ge
_chemical_formula_sum 'Ti1 Mn2 Ge1'
_space_group_name_H-M_alt 'P 1'
_space_group_IT_number 1
_cell_length_a 3.997
_cell_length_b 3.997
_cell_length_c 3.242
_cell_angle_alpha 90.00
_cell_angle_beta 90.00
_cell_angle_gamma 90.00
loop_
_space_group_symop_operation_xyz
'x,y,z'
loop_
_atom_site_label
_atom_site_fract_x
_atom_site_fract_y
_atom_site_fract_z
_atom_site_occupancy
Ti1 0.000 0.000 0.000 1
Mn1 0.000 0.500 0.500 1
Mn2 0.500 0.000 0.500 1
Ge1 0.500 0.500 0.000 1

---

# TiMn2Ge PBE relaxed
# Energy of formation from the pure elements in meV per atom: -235
# E_tot in eV per atom: -7.9480
# Crystal system: tetragonal
data_TiMn2Ge
_chemical_formula_sum 'Ti1 Mn2 Ge1'
_space_group_name_H-M_alt 'P 1'
_space_group_IT_number 1
_cell_length_a 3.056
_cell_length_b 3.056
_cell_length_c 5.548
_cell_angle_alpha 90.00
_cell_angle_beta 90.00
_cell_angle_gamma 90.00
loop_
_space_group_symop_operation_xyz
'x,y,z'
loop_
_atom_site_label
_atom_site_fract_x
_atom_site_fract_y
_atom_site_fract_z
_atom_site_occupancy
Ti1 0.000 0.000 0.000 1
Mn1 0.500 0.500 0.261 1
Mn2 0.500 0.500 0.739 1
Ge1 0.000 0.000 0.500 1

---

# YTiMnGe2 PBE relaxed
# Energy of formation from the pure elements in meV per atom: -599
# E_tot in eV per atom: -7.1514
# Crystal system: tetragonal
data_YTiMnGe2
_chemical_formula_sum 'Y2 Ti2 Mn2 Ge4'
_space_group_name_H-M_alt 'P 1'
_space_group_IT_number 1
_cell_length_a 3.983
_cell_length_b 3.983
_cell_length_c 11.367
_cell_angle_alpha 90.00
_cell_angle_beta 90.00
_cell_angle_gamma 90.00
loop_
_space_group_symop_operation_xyz
'x,y,z'
loop_
_atom_site_label
_atom_site_fract_x
_atom_site_fract_y
_atom_site_fract_z
_atom_site_occupancy
Y1 0.000 0.000 0.000 1
Y2 0.500 0.500 0.500 1
Ti1 0.000 0.500 0.750 1
Ti2 0.500 0.000 0.250 1
Mn1 0.000 0.500 0.250 1
Mn2 0.500 0.000 0.750 1
Ge1 0.000 0.000 0.389 1
Ge2 0.000 0.000 0.611 1
Ge3 0.500 0.500 0.111 1
Ge4 0.500 0.500 0.889 1

---

# Mn2TlGe PBE relaxed
# Energy of formation from the pure elements in meV per atom: 764
# E_tot in eV per atom: -5.5662
# Crystal system: tetragonal
data_Mn2TlGe
_chemical_formula_sum 'Mn8 Tl4 Ge4'
_space_group_name_H-M_alt 'P 1'
_space_group_IT_number 1
_cell_length_a 4.015
_cell_length_b 4.015
_cell_length_c 17.390
_cell_angle_alpha 90.00
_cell_angle_beta 90.00
_cell_angle_gamma 90.00
loop_
_space_group_symop_operation_xyz
'x,y,z'
loop_
_atom_site_label
_atom_site_fract_x
_atom_site_fract_y
_atom_site_fract_z
_atom_site_occupancy
Mn1 0.126 0.250 0.125 1
Mn2 0.250 0.626 0.375 1
Mn3 0.250 0.874 0.875 1
Mn4 0.374 0.250 0.625 1
Mn5 0.626 0.750 0.625 1
Mn6 0.750 0.126 0.875 1
Mn7 0.750 0.374 0.375 1
Mn8 0.874 0.750 0.125 1
Tl1 0.000 0.000 0.500 1
Tl2 0.000 0.500 0.750 1
Tl3 0.500 0.000 0.250 1
Tl4 0.500 0.500 0.000 1
Ge1 0.000 0.000 0.000 1
Ge2 0.000 0.500 0.250 1
Ge3 0.500 0.000 0.750 1
Ge4 0.500 0.500 0.500 1